{
  "formula": "FeRu5",
  "functional": "PBE-GGA",
  "state": "optimized geometry",
  "total_energy_ev_per_atom": -8.3560,
  "dos_ef_per_ev_cell": 10.08,
  "delta_e_f_ev_per_fu": 4.706,
  "volume_a3_per_cell": 95,
  "lattice": [[4.958, 0.000, 0.000], [-2.479, 4.293, 0.000], [0.000, 0.000, 4.473]],
  "species": ["Fe", "Ru", "Ru", "Ru", "Ru", "Ru"],
  "fractional_positions": [[0.000, 0.000, 0.000], [0.000, 0.500, 0.500], [0.333, 0.667, 0.000], [0.500, 0.000, 0.500], [0.500, 0.500, 0.500], [0.667, 0.333, 0.000]]
}